No. 1
## Ba2InCl2 (GGA-PBE)

Data for a geometry-optimized Ba2InCl2 structure.

Cell and atoms, written as POSCAR:
```
Ba2InCl2
1.0
-4.634 0.951 1.095
0.821 -1.301 4.605
0.140 7.664 4.700
Ba Cl In
2 2 1
Direct
0.366 0.366 0.267
0.634 0.634 0.733
0.750 0.250 0.500
0.250 0.750 0.500
0.000 0.000 0.000
```

Calculated volume = 39.19 Å³/atom
ΔE_f (raw) = -1.47 eV per atom

---

No. 2
## Ba2InCl (GGA-PBE)

Data for a geometry-optimized Ba2InCl structure.

Cell and atoms, written as POSCAR:
```
Ba2InCl
1.0
7.208 -0.010 -0.002
6.029 3.950 -0.002
0.002 0.000 5.568
Cl In Ba
1 1 2
Direct
0.509 0.509 0.626
0.263 0.263 0.125
0.994 0.994 0.124
0.734 0.734 0.625
```

Calculated volume = 39.71 Å³/atom
ΔE_f (raw) = -1.02 eV per atom

---

No. 3
## BaInCl2 (GGA-PBE)

Data for a geometry-optimized BaInCl2 structure.

Cell and atoms, written as POSCAR:
```
BaInCl2
1.0
3.807 -0.010 0.000
0.011 3.807 0.000
0.000 0.000 10.502
Cl Ba In
2 1 1
Direct
0.000 0.000 0.912
0.000 0.000 0.588
0.500 0.500 0.750
0.500 0.500 0.250
```

Calculated volume = 38.04 Å³/atom
ΔE_f (raw) = -1.46 eV per atom

---

No. 4
## BaIn4Cl (GGA-PBE)

Data for a geometry-optimized BaIn4Cl structure.

Cell and atoms, written as POSCAR:
```
BaIn4Cl
1.0
0.842 -2.623 5.769
-5.068 -1.632 3.540
-1.390 -6.169 0.940
Cl Ba In
1 1 4
Direct
0.000 0.000 0.000
0.750 0.750 0.750
0.876 0.375 0.375
0.375 0.375 0.375
0.375 0.375 0.876
0.375 0.876 0.375
```

Calculated volume = 30.79 Å³/atom
ΔE_f (raw) = -0.36 eV per atom

---

No. 5
## BaInCl2 (GGA-PBE)

Data for a geometry-optimized BaInCl2 structure.

Cell and atoms, written as POSCAR:
```
BaInCl2
1.0
5.600 0.000 0.000
2.800 4.850 0.000
2.800 1.617 4.572
Ba Cl In
1 2 1
Direct
0.500 0.500 0.500
0.250 0.250 0.250
0.000 0.000 0.000
0.750 0.750 0.750
```

Calculated volume = 31.04 Å³/atom
ΔE_f (raw) = -1.01 eV per atom

---

No. 6
## BaInCl2 (GGA-PBE)

Data for a geometry-optimized BaInCl2 structure.

Cell and atoms, written as POSCAR:
```
BaInCl2
1.0
4.453 0.000 0.000
0.000 6.150 0.000
0.000 0.000 4.551
Ba Cl In
1 2 1
Direct
0.000 0.500 0.500
0.500 0.500 0.000
0.000 0.000 0.000
0.500 0.000 0.500
```

Calculated volume = 31.16 Å³/atom
ΔE_f (raw) = -1.38 eV per atom

---

No. 7
## Ba2InCl (GGA-PBE)

Data for a geometry-optimized Ba2InCl structure.

Cell and atoms, written as POSCAR:
```
Ba2InCl
1.0
4.137 0.000 0.000
0.000 4.374 -0.041
0.000 0.131 9.180
Cl In Ba
1 1 2
Direct
0.500 0.250 0.250
0.500 0.750 0.750
0.000 0.247 0.981
0.000 0.253 0.519
```

Calculated volume = 41.53 Å³/atom
ΔE_f (raw) = -1.11 eV per atom

---

No. 8
## BaInCl2 (GGA-PBE)

Data for a geometry-optimized BaInCl2 structure.

Cell and atoms, written as POSCAR:
```
BaInCl2
1.0
7.641 0.033 -0.011
5.038 5.745 0.011
-6.189 -3.220 3.117
In Ba Cl
1 1 2
Direct
0.517 0.517 0.000
0.787 0.287 0.500
0.240 0.740 0.500
0.955 0.955 0.000
```

Calculated volume = 34.09 Å³/atom
ΔE_f (raw) = -1.42 eV per atom

---

No. 9
## Ba2InCl (GGA-PBE)

Data for a geometry-optimized Ba2InCl structure.

Cell and atoms, written as POSCAR:
```
Ba2InCl
1.0
-1.417 4.258 -4.601
-1.602 -4.324 -4.478
-2.258 1.672 5.781
Cl In Ba
1 1 2
Direct
0.750 0.250 0.500
0.250 0.750 0.500
0.535 0.535 0.000
0.965 0.965 0.000
```

Calculated volume = 41.14 Å³/atom
ΔE_f (raw) = -0.89 eV per atom

---

No. 10
## BaInCl2 (GGA-PBE)

Data for a geometry-optimized BaInCl2 structure.

Cell and atoms, written as POSCAR:
```
BaInCl2
1.0
-3.706 4.154 -0.748
-2.962 -3.268 -3.477
-8.509 -2.827 5.370
In Cl Ba
2 4 2
Direct
0.250 0.750 0.500
0.500 0.500 0.000
0.875 0.893 0.750
0.375 0.357 0.750
0.107 0.625 0.250
0.643 0.125 0.250
0.000 0.000 0.000
0.750 0.250 0.500
```

Calculated volume = 38.12 Å³/atom
ΔE_f (raw) = -1.32 eV per atom

---

No. 11
## BaInCl2 (GGA-PBE)

Data for a geometry-optimized BaInCl2 structure.

Cell and atoms, written as POSCAR:
```
BaInCl2
1.0
2.738 0.000 9.362
-1.369 2.371 9.362
-1.369 -2.371 9.362
Cl In Ba
2 1 1
Direct
0.895 0.895 0.895
0.105 0.105 0.105
0.500 0.500 0.500
0.000 0.000 0.000
```

Calculated volume = 45.59 Å³/atom
ΔE_f (raw) = -1.14 eV per atom

---

No. 12
## BaIn2Cl6 (GGA-PBE)

Data for a geometry-optimized BaIn2Cl6 structure.

Cell and atoms, written as POSCAR:
```
BaIn2Cl6
1.0
-0.072 7.218 6.232
3.189 -3.057 8.445
8.154 4.886 -0.698
Ba Cl In
2 12 4
Direct
0.750 0.928 0.072
0.250 0.072 0.928
0.288 0.377 0.921
0.533 0.640 0.627
0.212 0.079 0.623
0.788 0.921 0.377
0.376 0.047 0.199
0.624 0.953 0.801
0.876 0.199 0.047
0.124 0.801 0.953
0.967 0.373 0.360
0.712 0.623 0.079
0.033 0.627 0.640
0.467 0.360 0.373
0.768 0.739 0.584
0.232 0.261 0.416
0.268 0.584 0.739
0.732 0.416 0.261
```

Calculated volume = 42.68 Å³/atom
ΔE_f (raw) = -1.40 eV per atom

---

No. 13
## Ba2InCl (GGA-PBE)

Data for a geometry-optimized Ba2InCl structure.

Cell and atoms, written as POSCAR:
```
Ba2InCl
1.0
6.267 0.000 0.000
0.000 4.119 0.000
0.000 0.000 6.268
Ba In Cl
2 1 1
Direct
0.500 0.252 0.375
0.000 0.249 0.875
0.500 0.750 0.875
0.000 0.249 0.375
```

Calculated volume = 40.45 Å³/atom
ΔE_f (raw) = -1.09 eV per atom

---

No. 14
## Ba2InCl (GGA-PBE)

Data for a geometry-optimized Ba2InCl structure.

Cell and atoms, written as POSCAR:
```
Ba2InCl
1.0
3.969 0.000 0.000
0.000 3.969 0.000
0.000 0.000 9.142
In Ba Cl
1 2 1
Direct
0.500 0.500 0.750
0.000 0.000 0.002
0.000 0.000 0.498
0.500 0.500 0.250
```

Calculated volume = 36.00 Å³/atom
ΔE_f (raw) = -1.06 eV per atom

---

No. 15
## BaInCl2 (GGA-PBE)

Data for a geometry-optimized BaInCl2 structure.

Cell and atoms, written as POSCAR:
```
BaInCl2
1.0
5.771 0.008 -0.039
0.891 5.701 0.039
-2.808 -3.465 3.662
Ba Cl In
1 2 1
Direct
0.750 0.250 0.500
0.475 0.475 0.000
0.025 0.025 0.000
0.250 0.750 0.500
```

Calculated volume = 30.19 Å³/atom
ΔE_f (raw) = -1.41 eV per atom

---

No. 16
## Ba2InCl (GGA-PBE)

Data for a geometry-optimized Ba2InCl structure.

Cell and atoms, written as POSCAR:
```
Ba2InCl
1.0
-4.300 5.928 3.264
-0.511 2.444 7.619
4.962 -2.049 -5.956
In Ba Cl
1 2 1
Direct
0.750 0.250 0.500
0.000 0.000 0.000
0.250 0.750 0.500
0.500 0.500 0.000
```

Calculated volume = 41.34 Å³/atom
ΔE_f (raw) = -0.81 eV per atom

---

No. 17
## Ba2InCl (GGA-PBE)

Data for a geometry-optimized Ba2InCl structure.

Cell and atoms, written as POSCAR:
```
Ba2InCl
1.0
-2.602 -0.267 5.347
2.536 -3.117 4.392
2.432 2.829 4.638
Ba Cl In
2 1 1
Direct
0.000 0.000 0.000
0.750 0.750 0.750
0.500 0.500 0.500
0.250 0.250 0.250
```

Calculated volume = 37.29 Å³/atom
ΔE_f (raw) = -0.40 eV per atom

---

No. 18
## Ba2InCl (GGA-PBE)

Data for a geometry-optimized Ba2InCl structure.

Cell and atoms, written as POSCAR:
```
Ba2InCl
1.0
-1.107 1.146 -4.254
-4.136 -3.164 0.225
-3.888 5.256 2.428
Ba Cl In
2 1 1
Direct
0.000 0.000 0.874
0.500 0.500 0.375
0.000 0.000 0.375
0.500 0.500 0.876
```

Calculated volume = 41.28 Å³/atom
ΔE_f (raw) = -1.03 eV per atom

---

No. 19
## BaInCl2 (GGA-PBE)

Data for a geometry-optimized BaInCl2 structure.

Cell and atoms, written as POSCAR:
```
BaInCl2
1.0
2.703 0.000 9.625
-1.352 2.341 9.625
-1.352 -2.341 9.625
Cl In Ba
2 1 1
Direct
0.116 0.116 0.116
0.884 0.884 0.884
0.000 0.000 0.000
0.500 0.500 0.500
```

Calculated volume = 45.69 Å³/atom
ΔE_f (raw) = -1.50 eV per atom

---

No. 20
## BaInCl2 (GGA-PBE)

Data for a geometry-optimized BaInCl2 structure.

Cell and atoms, written as POSCAR:
```
BaInCl2
1.0
0.000 3.914 3.914
3.914 0.000 3.914
3.914 3.914 0.000
Cl Ba In
2 1 1
Direct
0.750 0.750 0.750
0.250 0.250 0.250
0.500 0.500 0.500
0.000 0.000 0.000
```

Calculated volume = 29.97 Å³/atom
ΔE_f (raw) = -1.35 eV per atom

---

No. 21
## Ba2InCl (GGA-PBE)

Data for a geometry-optimized Ba2InCl structure.

Cell and atoms, written as POSCAR:
```
Ba2InCl
1.0
4.502 0.000 0.000
2.251 3.899 0.000
2.251 1.300 9.260
In Ba Cl
1 2 1
Direct
0.667 0.667 0.999
0.248 0.248 0.255
0.086 0.086 0.742
0.499 0.499 0.504
```

Calculated volume = 40.63 Å³/atom
ΔE_f (raw) = -1.03 eV per atom

---

No. 22
## BaIn2Cl4 (GGA-PBE)

Data for a geometry-optimized BaIn2Cl4 structure.

Cell and atoms, written as POSCAR:
```
BaIn2Cl4
1.0
-4.325 1.776 -3.939
-1.713 -5.821 -0.743
-1.981 2.752 8.161
Cl In Ba
4 2 1
Direct
0.500 0.000 0.000
0.197 0.197 0.394
0.803 0.803 0.606
0.000 0.500 0.000
0.371 0.371 0.743
0.629 0.629 0.257
0.000 0.000 0.000
```

Calculated volume = 41.16 Å³/atom
ΔE_f (raw) = -1.44 eV per atom

---

No. 23
## BaInCl2 (GGA-PBE)

Data for a geometry-optimized BaInCl2 structure.

Cell and atoms, written as POSCAR:
```
BaInCl2
1.0
6.189 0.000 0.000
0.000 5.141 0.017
0.000 2.548 4.856
In Cl Ba
1 2 1
Direct
0.000 0.532 0.561
0.500 0.215 0.195
0.000 0.857 0.912
0.500 0.896 0.832
```

Calculated volume = 38.56 Å³/atom
ΔE_f (raw) = -1.44 eV per atom

---

No. 24
## BaInCl2 (GGA-PBE)

Data for a geometry-optimized BaInCl2 structure.

Cell and atoms, written as POSCAR:
```
BaInCl2
1.0
-3.569 2.023 -4.152
-2.505 -1.110 5.312
-2.126 5.210 1.028
In Cl Ba
1 2 1
Direct
0.500 0.500 0.000
0.000 0.500 0.500
0.000 0.000 0.000
0.500 0.000 0.500
```

Calculated volume = 37.29 Å³/atom
ΔE_f (raw) = -1.37 eV per atom

---

No. 25
## Ba4InCl (GGA-PBE)

Data for a geometry-optimized Ba4InCl structure.

Cell and atoms, written as POSCAR:
```
Ba4InCl
1.0
-4.142 -3.680 4.919
-3.430 3.676 5.442
-7.373 0.721 -0.090
Ba Cl In
4 1 1
Direct
0.374 0.877 0.374
0.374 0.374 0.877
0.374 0.374 0.374
0.877 0.374 0.374
0.750 0.750 0.750
0.000 0.000 0.000
```

Calculated volume = 47.93 Å³/atom
ΔE_f (raw) = 0.02 eV per atom

---

No. 26
## Ba6In2Cl (GGA-PBE)

Data for a geometry-optimized Ba6In2Cl structure.

Cell and atoms, written as POSCAR:
```
Ba6In2Cl
1.0
-6.749 -3.773 1.530
1.896 -2.859 -9.209
5.603 -8.487 3.789
Ba In Cl
12 4 2
Direct
0.839 0.952 0.631
0.161 0.048 0.369
0.654 0.330 0.448
0.154 0.830 0.052
0.372 0.072 0.771
0.346 0.670 0.552
0.846 0.170 0.948
0.628 0.928 0.229
0.339 0.452 0.869
0.128 0.428 0.271
0.872 0.572 0.729
0.661 0.548 0.131
0.407 0.197 0.103
0.093 0.303 0.603
0.593 0.803 0.897
0.907 0.697 0.397
0.500 0.000 0.500
0.000 0.500 0.000
```

Calculated volume = 45.68 Å³/atom
ΔE_f (raw) = -0.59 eV per atom

---

No. 27
## Ba2InCl (GGA-PBE)

Data for a geometry-optimized Ba2InCl structure.

Cell and atoms, written as POSCAR:
```
Ba2InCl
1.0
-3.046 -3.957 3.379
-5.511 1.376 2.024
-4.832 -2.808 -2.264
Ba In Cl
2 1 1
Direct
0.750 0.750 0.750
0.250 0.250 0.250
0.500 0.500 0.500
0.000 0.000 0.000
```

Calculated volume = 38.75 Å³/atom
ΔE_f (raw) = -0.85 eV per atom

---

No. 28
## BaInCl4 (GGA-PBE)

Data for a geometry-optimized BaInCl4 structure.

Cell and atoms, written as POSCAR:
```
BaInCl4
1.0
-5.274 0.556 3.258
-3.855 4.760 -1.106
-5.485 -1.014 -2.761
Cl In Ba
4 1 1
Direct
0.875 0.375 0.375
0.375 0.375 0.875
0.375 0.875 0.375
0.375 0.375 0.375
0.750 0.750 0.750
0.000 0.000 0.000
```

Calculated volume = 28.42 Å³/atom
ΔE_f (raw) = -0.84 eV per atom